(1)
DFT (PBE) results for a geometry-optimized Zn2H2S structure.

Computed properties:
total moment: 0.00 μB/f.u.
energy relative to the lowest polymorph listed for this composition: 0 meV/atom
mass density: 4.68 g/cm3

```
data_Zn2H2S
_chemical_formula_sum 'Zn4 H4 S2'
_cell_length_a 5.4597
_cell_length_b 5.4597
_cell_length_c 3.9296
_cell_angle_alpha 90.00
_cell_angle_beta 90.00
_cell_angle_gamma 90.00
_space_group_name_H-M_alt 'P 1'
_space_group_IT_number 1
_space_group_name_Hall 'P 1'
loop_
_atom_site_label
_atom_site_type_symbol
_atom_site_fract_x
_atom_site_fract_y
_atom_site_fract_z
_atom_site_occupancy
H1 H 0.4504 0.9504 0.0000 1
H2 H 0.9504 0.5496 0.0000 1
H3 H 0.5496 0.0496 0.0000 1
H4 H 0.0496 0.4504 0.0000 1
Zn1 Zn 0.1891 0.6891 0.5000 1
Zn2 Zn 0.6891 0.8109 0.5000 1
Zn3 Zn 0.8109 0.3109 0.5000 1
Zn4 Zn 0.3109 0.1891 0.5000 1
S1 S 0.0000 0.0000 0.0000 1
S2 S 0.5000 0.5000 0.0000 1
```


(2)
DFT (PBE) results for a geometry-optimized ZnHS structure.

Computed properties:
electronic total energy: -3.17 eV/atom
total moment: 0.00 μB/f.u.
mass density: 2.76 g/cm3

```
data_ZnHS
_chemical_formula_sum 'Zn2 H2 S2'
_cell_length_a 6.0860
_cell_length_b 6.3924
_cell_length_c 3.8584
_cell_angle_alpha 90.01
_cell_angle_beta 71.64
_cell_angle_gamma 58.31
_space_group_name_H-M_alt 'P 1'
_space_group_IT_number 1
_space_group_name_Hall 'P 1'
loop_
_atom_site_label
_atom_site_type_symbol
_atom_site_fract_x
_atom_site_fract_y
_atom_site_fract_z
_atom_site_occupancy
H1 H 0.2503 0.1575 0.1308 1
H2 H 0.7555 0.9052 0.8732 1
Zn1 Zn 0.7514 0.4373 0.8784 1
Zn2 Zn 0.2541 0.6860 0.1256 1
S1 S 0.0190 0.1537 0.2450 1
S2 S 0.9866 0.6698 0.7589 1
```


(3)
DFT (PBE) results for a geometry-optimized ZnH2S8 structure.

Computed properties:
electronic total energy: -3.67 eV/atom
total moment: 0.00 μB/f.u.
mass density: 2.13 g/cm3

```
data_ZnH2S8
_chemical_formula_sum 'Zn1 H2 S8'
_cell_length_a 9.0752
_cell_length_b 5.6677
_cell_length_c 38.7490
_cell_angle_alpha 59.01
_cell_angle_beta 169.11
_cell_angle_gamma 127.33
_space_group_name_H-M_alt 'P 1'
_space_group_IT_number 1
_space_group_name_Hall 'P 1'
loop_
_atom_site_label
_atom_site_type_symbol
_atom_site_fract_x
_atom_site_fract_y
_atom_site_fract_z
_atom_site_occupancy
Zn1 Zn 0.0000 0.0000 0.0000 1
H1 H 0.0200 0.3557 0.4758 1
H2 H 0.9800 0.6443 0.5242 1
S1 S 0.8029 0.1928 0.6211 1
S2 S 0.9658 0.5793 0.6556 1
S3 S 0.1971 0.8072 0.3789 1
S4 S 0.2404 0.5992 0.0726 1
S5 S 0.0342 0.4207 0.3444 1
S6 S 0.8705 0.0685 0.2553 1
S7 S 0.1295 0.9315 0.7447 1
S8 S 0.7596 0.4008 0.9274 1
```


(4)
DFT (PBE) results for a geometry-optimized ZnH3S structure.

Computed properties:
total moment: 0.00 μB/f.u.
energy relative to the lowest polymorph listed for this composition: 227 meV/atom
mass density: 3.66 g/cm3

```
data_ZnH3S
_chemical_formula_sum 'Zn1 H3 S1'
_cell_length_a 3.5714
_cell_length_b 3.5714
_cell_length_c 3.5714
_cell_angle_alpha 90.00
_cell_angle_beta 90.00
_cell_angle_gamma 90.00
_space_group_name_H-M_alt 'P 1'
_space_group_IT_number 1
_space_group_name_Hall 'P 1'
loop_
_atom_site_label
_atom_site_type_symbol
_atom_site_fract_x
_atom_site_fract_y
_atom_site_fract_z
_atom_site_occupancy
H1 H 0.0000 0.5000 0.0000 1
H2 H 0.0000 0.0000 0.5000 1
H3 H 0.5000 0.0000 0.0000 1
Zn1 Zn 0.0000 0.0000 0.0000 1
S1 S 0.5000 0.5000 0.5000 1
```